This record from the Alexandria database describes an optimized crystal structure of InAs2W. The functional is PBE.

Cell lengths 6.095, 6.095, 7.310 Å; angles 65.36, 65.36, 90.00 degrees
Atoms (fractional coordinates):
As  0.875  0.928  0.750
As  0.375  0.322  0.750
As  0.072  0.625  0.250
As  0.678  0.125  0.250
W  0.000  0.000  0.000
W  0.750  0.250  0.500
In  0.250  0.750  0.500
In  0.500  0.500  0.000

Energy relative to the elements = 42.26 kJ per mole of atoms
M_tot = 0.89 μB per formula unit